Entry 1:
Compound: La2TbInN
Source: Alexandria
Functional: PBE
Structure: relaxed Values from VASP.

Cell and atoms, written as Quantum ESPRESSO input:
```
&SYSTEM
  ibrav = 0, nat = 5, ntyp = 4
/
ATOMIC_SPECIES
La 138.91 La.upf
Tb 158.93 Tb.upf
In 114.82 In.upf
N 14.01 N.upf
CELL_PARAMETERS angstrom
5.1277 0.0000 0.0000
0.0000 5.1277 0.0000
0.0000 0.0000 4.9030
ATOMIC_POSITIONS angstrom
La 0.0000 2.5639 0.0000
La 2.5639 0.0000 0.0000
Tb 0.0000 0.0000 2.4515
In 2.5639 2.5639 2.4515
N 0.0000 0.0000 0.0000
```

* space-group type: P4/mmm, No. 123
* DOS(E_F): 2.96 states/eV/f.u.
* ΔE_f (raw): -0.8920 eV per atom

Entry 2:
Compound: Sm3Te2Pb
Source: Alexandria
Functional: PBE
Structure: relaxed Values from VASP.

Cell and atoms, written as Quantum ESPRESSO input:
```
&SYSTEM
  ibrav = 0, nat = 12, ntyp = 3
/
ATOMIC_SPECIES
Sm 150.36 Sm.upf
Te 127.60 Te.upf
Pb 207.20 Pb.upf
CELL_PARAMETERS angstrom
3.8802 -6.7263 0.0000
3.8802 6.7263 0.0000
-2.6025 0.0000 7.3154
ATOMIC_POSITIONS angstrom
Sm 0.6389 3.3631 3.6577
Sm -0.7112 1.0915 7.3133
Sm 0.5901 -1.0915 3.6556
Sm 1.9401 -3.3631 0.0000
Sm 4.5679 1.0915 3.6598
Sm 5.8691 -1.0915 0.0021
Te 3.2296 3.3409 1.8288
Te 1.9283 1.1174 5.4865
Te 3.2296 -1.1174 1.8288
Te 1.9283 -3.3409 5.4865
Pb 1.9283 5.5813 5.4865
Pb 3.2296 -5.5813 1.8288
```

* space-group type: C2/c, No. 15
* DOS(E_F): 1.69 states/eV/f.u.
* excess energy over the best structure of this formula in the dataset: 0 meV/atom
* ΔE_f (raw): -1.1659 eV per atom

Entry 3:
Compound: Sr2YTl
Source: Alexandria
Functional: PBE
Structure: relaxed Values from VASP.

Cell and atoms, written as Quantum ESPRESSO input:
```
&SYSTEM
  ibrav = 0, nat = 4, ntyp = 3
/
ATOMIC_SPECIES
Sr 87.62 Sr.upf
Y 88.91 Y.upf
Tl 204.38 Tl.upf
CELL_PARAMETERS angstrom
0.0000 4.2052 4.2052
4.2052 0.0000 4.2052
4.2052 4.2052 0.0000
ATOMIC_POSITIONS angstrom
Sr 2.1026 2.1026 2.1026
Sr 6.3078 6.3078 6.3078
Y 0.0000 0.0000 0.0000
Tl 4.2052 4.2052 4.2052
```

* space-group type: Fm-3m, No. 225
* DOS(E_F): 3.24 states/eV/f.u.
* excess energy over the best structure of this formula in the dataset: 194 meV/atom